[1]
## Tb2TmMnS6 (PBE)

Data for a geometry-optimized Tb2TmMnS6 structure.

Summary:
Total magnetization (μB per cell): 4.00
Formation energy from raw total energies (kJ/mol of atoms): -155

Lattice parameters (Å, degrees): 6.581 6.720 7.003 62.18 89.88 62.34
Fractional coordinates of all 10 atoms:
Tb 0.000 0.000 0.000
Tb 0.495 0.004 0.508
Tm 0.703 0.584 0.113
Mn 0.199 0.593 0.601
S 0.093 0.493 0.339
S 0.309 0.737 0.816
S 0.410 0.745 0.343
S 0.574 0.092 0.837
S 0.822 0.091 0.322
S 0.930 0.499 0.806

***

[2]
## Tb2YMnS6 (PBE)

Data for a geometry-optimized Tb2YMnS6 structure.

Summary:
Total magnetization (μB per cell): 4.00
Formation energy from raw total energies (kJ/mol of atoms): -155

Lattice parameters (Å, degrees): 6.610 6.743 7.049 62.17 89.85 62.38
Fractional coordinates of all 10 atoms:
Tb 0.000 0.000 0.000
Tb 0.496 0.002 0.512
Y 0.704 0.582 0.117
Mn 0.197 0.596 0.600
S 0.099 0.492 0.340
S 0.305 0.740 0.814
S 0.404 0.752 0.343
S 0.576 0.094 0.835
S 0.820 0.086 0.321
S 0.930 0.498 0.803

***

[3]
## Mn2TcS (PBE)

Data for a geometry-optimized Mn2TcS structure.

Summary:
Total magnetization (μB per cell): 0.00
Formation energy from raw total energies (kJ/mol of atoms): 50

Lattice parameters (Å, degrees): 5.186 5.186 9.904 90.00 90.00 90.00
Fractional coordinates of all 16 atoms:
Mn 0.228 0.250 0.125
Mn 0.250 0.728 0.375
Mn 0.250 0.772 0.875
Mn 0.272 0.250 0.625
Mn 0.728 0.750 0.625
Mn 0.750 0.228 0.875
Mn 0.750 0.272 0.375
Mn 0.772 0.750 0.125
Tc 0.000 0.000 0.500
Tc 0.000 0.500 0.750
Tc 0.500 0.000 0.250
Tc 0.500 0.500 0.000
S 0.000 0.000 0.000
S 0.000 0.500 0.250
S 0.500 0.000 0.750
S 0.500 0.500 0.500

***

[4]
## MnTcS2 (PBE)

Data for a geometry-optimized MnTcS2 structure.

Summary:
Total magnetization (μB per cell): 0.00
Formation energy from raw total energies (kJ/mol of atoms): 3
Energy above the most stable polymorph in this dataset (eV/atom): 0.2313

Lattice parameters (Å, degrees): 5.815 5.815 5.815 90.00 90.00 90.00
Fractional coordinates of all 16 atoms:
Mn 0.000 0.000 0.000
Mn 0.000 0.500 0.500
Mn 0.500 0.000 0.500
Mn 0.500 0.500 0.000
Tc 0.000 0.000 0.500
Tc 0.000 0.500 0.000
Tc 0.500 0.000 0.000
Tc 0.500 0.500 0.500
S 0.250 0.250 0.250
S 0.250 0.250 0.750
S 0.250 0.750 0.250
S 0.250 0.750 0.750
S 0.750 0.250 0.250
S 0.750 0.250 0.750
S 0.750 0.750 0.250
S 0.750 0.750 0.750